Entry 1:
# HgBiPt2 | OQMD via LeMat-Bulk | PBE | optimized geometry
data_HgBiPt2
_chemical_formula_sum 'Hg4 Bi4 Pt8'
_space_group_name_H-M_alt 'F -4 3 m'
_space_group_IT_number 216
_space_group_name_Hall 'F -4 2 3'
_cell_length_a 6.8622
_cell_length_b 6.8622
_cell_length_c 6.8622
_cell_angle_alpha 90.00
_cell_angle_beta 90.00
_cell_angle_gamma 90.00
loop_
_atom_site_label
_atom_site_fract_x
_atom_site_fract_y
_atom_site_fract_z
Hg1 0.0000 0.0000 0.0000
Bi1 0.2500 0.2500 0.7500
Pt1 0.0000 0.0000 0.5000
Pt2 0.2500 0.2500 0.2500
# * mass density: 16.44 g/cm³
# * electronic total energy: -3.9646 eV/atom

Entry 2:
# ScTa2Sn | OQMD via LeMat-Bulk | PBE | optimized geometry
data_ScTa2Sn
_chemical_formula_sum 'Sc4 Ta8 Sn4'
_space_group_name_H-M_alt 'F -4 3 m'
_space_group_IT_number 216
_space_group_name_Hall 'F -4 2 3'
_cell_length_a 6.7776
_cell_length_b 6.7776
_cell_length_c 6.7776
_cell_angle_alpha 90.00
_cell_angle_beta 90.00
_cell_angle_gamma 90.00
loop_
_atom_site_label
_atom_site_fract_x
_atom_site_fract_y
_atom_site_fract_z
Sc1 0.0000 0.0000 0.0000
Ta1 0.0000 0.0000 0.5000
Ta2 0.2500 0.2500 0.2500
Sn1 0.2500 0.2500 0.7500
# * mass density: 11.21 g/cm³
# * electronic total energy: -8.5458 eV/atom

Entry 3:
# Ho3Cu2Ni7 | OQMD via LeMat-Bulk | PBE | optimized geometry
data_Ho3Cu2Ni7
_chemical_formula_sum 'Ho9 Cu6 Ni21'
_space_group_name_H-M_alt 'R -3 m'
_space_group_IT_number 166
_space_group_name_Hall '-R 3 2"'
_cell_length_a 4.9956
_cell_length_b 4.9956
_cell_length_c 24.2439
_cell_angle_alpha 90.00
_cell_angle_beta 90.00
_cell_angle_gamma 120.00
loop_
_atom_site_label
_atom_site_fract_x
_atom_site_fract_y
_atom_site_fract_z
Ho1 0.0000 0.0000 0.0000
Ho2 0.0000 0.0000 0.1392
Cu1 0.0000 0.0000 0.3336
Ni1 0.0000 0.0000 0.5000
Ni2 0.0020 0.5010 0.9167
# * energy of formation from the pure elements: -5.0 eV per formula unit
# * mass density: 9.82 g/cm³

Entry 4:
# Y2LuGe4Pd4 | OQMD via LeMat-Bulk | PBE | optimized geometry
data_Y2LuGe4Pd4
_chemical_formula_sum 'Y4 Lu2 Ge8 Pd8'
_space_group_name_H-M_alt 'I m m m'
_space_group_IT_number 71
_space_group_name_Hall '-I 2 2'
_cell_length_a 4.1859
_cell_length_b 7.0900
_cell_length_c 13.9663
_cell_angle_alpha 90.00
_cell_angle_beta 90.00
_cell_angle_gamma 90.00
loop_
_atom_site_label
_atom_site_fract_x
_atom_site_fract_y
_atom_site_fract_z
Y1 0.0000 0.0000 0.1256
Lu1 0.0000 0.5000 0.0000
Ge1 0.0000 0.3093 0.5000
Ge2 0.0000 0.5000 0.2173
Pd1 0.0000 0.1998 0.3256
# * mass density: 8.57 g/cm³
# * electronic total energy: -6.0339 eV/atom